Entry 1:
# PBE-GGA BaPu2IO4, relaxed
# Raw formation energy ... -2.586 eV per atom
# Symmetry ... P4/mmm
# ρ ... 8.2 g/cm3
# D(E_F) ... 15.1 states/eV/f.u.
data_BaPu2IO4
_chemical_formula_sum 'Ba1 Pu2 I1 O4'
_symmetry_space_group_name_H-M 'P 1'
_symmetry_Int_Tables_number 1
_cell_length_a 4.0567
_cell_length_b 4.0567
_cell_length_c 10.0809
_cell_angle_alpha 90.00
_cell_angle_beta 90.00
_cell_angle_gamma 90.00
loop_
_symmetry_equiv_pos_as_xyz
'x,y,z'
loop_
_atom_site_label
_atom_site_type_symbol
_atom_site_fract_x
_atom_site_fract_y
_atom_site_fract_z
Ba1 Ba 0.0000 0.0000 0.0000
Pu1 Pu 0.5000 0.5000 0.2654
Pu2 Pu 0.5000 0.5000 0.7346
I1 I 0.0000 0.0000 0.5000
O1 O 0.0000 0.5000 0.1834
O2 O 0.0000 0.5000 0.8166
O3 O 0.5000 0.0000 0.1834
O4 O 0.5000 0.0000 0.8166

=====

Entry 2:
# PBE-GGA Ge6Te, relaxed
# Raw formation energy ... 0.290 eV per atom
# Symmetry ... Im-3m
# ρ ... 5.3 g/cm3
# D(E_F) ... 6.7 states/eV/f.u.
data_Ge6Te
_chemical_formula_sum 'Ge6 Te1'
_symmetry_space_group_name_H-M 'P 1'
_symmetry_Int_Tables_number 1
_cell_length_a 6.1046
_cell_length_b 6.1046
_cell_length_c 6.1046
_cell_angle_alpha 109.47
_cell_angle_beta 109.47
_cell_angle_gamma 109.47
loop_
_symmetry_equiv_pos_as_xyz
'x,y,z'
loop_
_atom_site_label
_atom_site_type_symbol
_atom_site_fract_x
_atom_site_fract_y
_atom_site_fract_z
Ge1 Ge 0.2500 0.5000 0.7500
Ge2 Ge 0.2500 0.7500 0.5000
Ge3 Ge 0.5000 0.2500 0.7500
Ge4 Ge 0.5000 0.7500 0.2500
Ge5 Ge 0.7500 0.2500 0.5000
Ge6 Ge 0.7500 0.5000 0.2500
Te1 Te 0.0000 0.0000 0.0000